Entry 1:
This record from Alexandria describes a relaxed ScIn5Rh6 crystal. The functional is PBE.

Properties
As for the density: 10.14 g/cm3. The formation energy comes out at -0.5717 eV/atom. The space group is No. 10.

```
ScIn5Rh6
1.0
4.5001 0.0000 0.0000
0.0000 6.6650 0.0000
-2.2413 0.0000 6.7489
Sc In Rh
1 5 6
Direct
0.0000 0.0000 0.0000
0.0000 0.5000 0.0000
0.3336 0.5000 0.6676
0.3359 0.0000 0.6719
0.6641 0.0000 0.3281
0.6664 0.5000 0.3324
0.1673 0.2493 0.3344
0.1673 0.7507 0.3344
0.5000 0.2521 0.0000
0.5000 0.7479 0.0000
0.8327 0.2493 0.6656
0.8327 0.7507 0.6656
```

---

Entry 2:
This record from Alexandria describes a relaxed Sc4InRh2 crystal. The functional is PBE.

Properties
As for the density: 5.97 g/cm3. The formation energy comes out at -0.6416 eV/atom. The space group is No. 63.

```
Sc4InRh2
1.0
2.3993 -4.1573 0.0000
2.3993 4.1573 0.0000
0.0000 0.0000 13.9642
Sc In Rh
8 2 4
Direct
0.0000 0.0000 0.0000
0.0000 0.0000 0.5000
0.3329 0.6671 0.6278
0.3329 0.6671 0.8722
0.3340 0.6660 0.2500
0.6660 0.3340 0.7500
0.6671 0.3329 0.1278
0.6671 0.3329 0.3722
0.0007 0.9993 0.2500
0.9993 0.0007 0.7500
0.3335 0.6665 0.0588
0.3335 0.6665 0.4412
0.6665 0.3335 0.5588
0.6665 0.3335 0.9412
```

---

Entry 3:
This record from Alexandria describes a relaxed Sc5InRh6 crystal. The functional is PBE.

Properties
As for the density: 7.89 g/cm3. The formation energy comes out at -0.9628 eV/atom. The space group is No. 65.

```
Sc5InRh6
1.0
2.2763 -6.8287 0.0000
2.2763 6.8287 0.0000
0.0000 0.0000 6.4762
Sc In Rh
5 1 6
Direct
0.0000 0.0000 0.0000
0.3334 0.6666 0.0000
0.3368 0.6632 0.5000
0.6632 0.3368 0.5000
0.6666 0.3334 0.0000
0.0000 0.0000 0.5000
0.1688 0.8312 0.2488
0.1688 0.8312 0.7512
0.5000 0.5000 0.2427
0.5000 0.5000 0.7573
0.8312 0.1688 0.2488
0.8312 0.1688 0.7512
```

---

Entry 4:
This record from Alexandria describes a relaxed Sc6InRh2 crystal. The functional is PBE.

Properties
As for the density: 5.09 g/cm3. The formation energy comes out at -0.5885 eV/atom. The space group is No. 71.

```
Sc6InRh2
1.0
-4.4171 4.4693 4.8815
4.4171 -4.4693 4.8815
4.4171 4.4693 -4.8815
Sc In Rh
12 2 4
Direct
0.0320 0.2392 0.7929
0.1865 0.2887 0.4752
0.1865 0.7113 0.8978
0.3272 0.0282 0.7010
0.3272 0.6262 0.2990
0.4463 0.2392 0.2071
0.5537 0.7608 0.7929
0.6728 0.3738 0.7010
0.6728 0.9718 0.2990
0.8135 0.2887 0.1022
0.8135 0.7113 0.5248
0.9680 0.7608 0.2071
0.0000 0.0000 0.0000
0.5000 0.5000 0.0000
0.1372 0.6372 0.5000
0.3368 0.0000 0.3368
0.6632 0.0000 0.6632
0.8628 0.3628 0.5000
```